# PBE V3Cu5Pd12, relaxed
data_V3Cu5Pd12
_space_group_name_H-M_alt 'I a -3 d'
_space_group_IT_number 230
_space_group_name_Hall '-I 4bd 2c 3'
_cell_length_a 14.305
_cell_length_b 14.305
_cell_length_c 14.305
_cell_angle_alpha 90.00
_cell_angle_beta 90.00
_cell_angle_gamma 90.00
loop_
_atom_site_label
_atom_site_fract_x
_atom_site_fract_y
_atom_site_fract_z
V1 0.000 0.250 0.125
Cu1 0.000 0.000 0.000
Cu2 0.000 0.250 0.375
Pd1 0.017 0.083 0.649
# DFT formation energy   8.70 eV/f.u.